10
Lattice="3.9341 0.0000 0.0000 0.0000 3.9341 0.0000 0.0000 0.0000 19.9707" Properties=species:S:1:pos:R:3 comment="La5In4Sn PBE optimized geometry" space_group="No. 123" e_form_ev_per_atom=-0.55 volume_a3_per_atom=30.91 pbc="T T T"
La 0.0000 0.0000 0.0000
La 0.0000 0.0000 3.9726
La 0.0000 0.0000 7.9889
La 0.0000 0.0000 11.9817
La 0.0000 0.0000 15.9980
In 1.9670 1.9670 1.9777
In 1.9670 1.9670 5.9208
In 1.9670 1.9670 14.0499
In 1.9670 1.9670 17.9929
Sn 1.9670 1.9670 9.9853